Entry 1:
# PBE-GGA TiCdAg2W, relaxed
data_TiCdAg2W
_chemical_formula_sum 'Ti1 Cd1 Ag2 W1'
_space_group_name_H-M_alt 'P 1'
_space_group_IT_number 1
_cell_length_a 5.174
_cell_length_b 4.576
_cell_length_c 5.174
_cell_angle_alpha 90.00
_cell_angle_beta 90.00
_cell_angle_gamma 90.00
loop_
_space_group_symop_operation_xyz
'x,y,z'
loop_
_atom_site_label
_atom_site_type_symbol
_atom_site_fract_x
_atom_site_fract_y
_atom_site_fract_z
Ag1 Ag 0.000 0.000 0.500
Ag2 Ag 0.500 0.000 0.000
Cd1 Cd 0.500 0.500 0.500
Ti1 Ti 0.000 0.500 0.000
W1 W 0.000 0.000 0.000
# Electronic total energy = -4.296 eV/atom

***

Entry 2:
# PBE-GGA Ac6TlRu2, relaxed
data_Ac6TlRu2
_chemical_formula_sum 'Ac6 Tl1 Ru2'
_space_group_name_H-M_alt 'P 1'
_space_group_IT_number 1
_cell_length_a 5.537
_cell_length_b 6.287
_cell_length_c 9.962
_cell_angle_alpha 79.50
_cell_angle_beta 90.00
_cell_angle_gamma 116.13
loop_
_space_group_symop_operation_xyz
'x,y,z'
loop_
_atom_site_label
_atom_site_type_symbol
_atom_site_fract_x
_atom_site_fract_y
_atom_site_fract_z
Ac1 Ac 0.709 0.418 0.151
Ac2 Ac 0.026 0.052 0.158
Ac3 Ac 0.291 0.582 0.849
Ac4 Ac 0.974 0.948 0.842
Ac5 Ac 0.335 0.669 0.379
Ac6 Ac 0.665 0.331 0.621
Ru1 Ru 0.390 0.779 0.092
Ru2 Ru 0.610 0.221 0.908
Tl1 Tl 0.000 0.000 0.500
# Energy above the most stable polymorph in this dataset = 118 meV/atom
# Electronic total energy = -5.151 eV/atom

***

Entry 3:
# PBE-GGA LaHf2As, relaxed
data_LaHf2As
_chemical_formula_sum 'La2 Hf4 As2'
_space_group_name_H-M_alt 'P 1'
_space_group_IT_number 1
_cell_length_a 8.371
_cell_length_b 8.371
_cell_length_c 6.624
_cell_angle_alpha 50.81
_cell_angle_beta 50.81
_cell_angle_gamma 90.00
loop_
_space_group_symop_operation_xyz
'x,y,z'
loop_
_atom_site_label
_atom_site_type_symbol
_atom_site_fract_x
_atom_site_fract_y
_atom_site_fract_z
As1 As 0.500 0.500 0.000
As2 As 0.250 0.750 0.500
La1 La 0.000 0.000 0.000
La2 La 0.750 0.250 0.500
Hf1 Hf 0.199 0.625 0.250
Hf2 Hf 0.551 0.125 0.250
Hf3 Hf 0.875 0.801 0.750
Hf4 Hf 0.375 0.449 0.750
# Electronic total energy = -7.485 eV/atom

***

Entry 4:
# PBE-GGA SrY3N, relaxed
data_SrY3N
_chemical_formula_sum 'Sr1 Y3 N1'
_space_group_name_H-M_alt 'P 1'
_space_group_IT_number 1
_cell_length_a 5.546
_cell_length_b 5.546
_cell_length_c 5.546
_cell_angle_alpha 90.00
_cell_angle_beta 90.00
_cell_angle_gamma 90.00
loop_
_space_group_symop_operation_xyz
'x,y,z'
loop_
_atom_site_label
_atom_site_type_symbol
_atom_site_fract_x
_atom_site_fract_y
_atom_site_fract_z
Y1 Y 0.500 0.000 0.000
Y2 Y 0.000 0.500 0.000
Y3 Y 0.000 0.000 0.500
Sr1 Sr 0.000 0.000 0.000
N1 N 0.500 0.500 0.500
# Energy above the most stable polymorph in this dataset = 2621 meV/atom
# Electronic total energy = -3.595 eV/atom

***

Entry 5:
# PBE-GGA CrRu2Au, relaxed
data_CrRu2Au
_chemical_formula_sum 'Cr1 Ru2 Au1'
_space_group_name_H-M_alt 'P 1'
_space_group_IT_number 1
_cell_length_a 3.873
_cell_length_b 3.873
_cell_length_c 3.873
_cell_angle_alpha 90.00
_cell_angle_beta 90.00
_cell_angle_gamma 90.00
loop_
_space_group_symop_operation_xyz
'x,y,z'
loop_
_atom_site_label
_atom_site_type_symbol
_atom_site_fract_x
_atom_site_fract_y
_atom_site_fract_z
Cr1 Cr 0.500 0.000 0.500
Au1 Au 0.500 0.500 0.000
Ru1 Ru 0.000 0.500 0.500
Ru2 Ru 0.000 0.000 0.000
# Energy above the most stable polymorph in this dataset = 74 meV/atom
# Electronic total energy = -7.591 eV/atom

***

Entry 6:
# PBE-GGA Y2HoPu3Te6, relaxed
data_Y2HoPu3Te6
_chemical_formula_sum 'Y2 Ho1 Pu3 Te6'
_space_group_name_H-M_alt 'P 1'
_space_group_IT_number 1
_cell_length_a 4.370
_cell_length_b 8.828
_cell_length_c 9.855
_cell_angle_alpha 103.79
_cell_angle_beta 102.81
_cell_angle_gamma 90.00
loop_
_space_group_symop_operation_xyz
'x,y,z'
loop_
_atom_site_label
_atom_site_type_symbol
_atom_site_fract_x
_atom_site_fract_y
_atom_site_fract_z
Ho1 Ho 0.500 0.000 0.000
Te1 Te 0.332 0.419 0.665
Te2 Te 0.999 0.754 0.998
Te3 Te 0.001 0.246 0.002
Te4 Te 0.668 0.581 0.335
Te5 Te 0.665 0.085 0.330
Te6 Te 0.335 0.915 0.670
Y1 Y 0.833 0.666 0.666
Y2 Y 0.167 0.334 0.334
Pu1 Pu 0.500 0.500 0.000
Pu2 Pu 0.167 0.833 0.334
Pu3 Pu 0.833 0.167 0.666
# Electronic total energy = -7.833 eV/atom

***

Entry 7:
# PBE-GGA Cr2InTe, relaxed
data_Cr2InTe
_chemical_formula_sum 'Cr2 In1 Te1'
_space_group_name_H-M_alt 'P 1'
_space_group_IT_number 1
_cell_length_a 3.176
_cell_length_b 3.176
_cell_length_c 7.922
_cell_angle_alpha 90.00
_cell_angle_beta 90.00
_cell_angle_gamma 90.00
loop_
_space_group_symop_operation_xyz
'x,y,z'
loop_
_atom_site_label
_atom_site_type_symbol
_atom_site_fract_x
_atom_site_fract_y
_atom_site_fract_z
Cr1 Cr 0.500 0.500 0.197
Cr2 Cr 0.000 0.000 0.042
Te1 Te 0.500 0.500 0.831
In1 In 0.000 0.000 0.430
# Energy above the most stable polymorph in this dataset = 0 meV/atom
# Electronic total energy = -6.012 eV/atom

***

Entry 8:
# PBE-GGA Tc3P, relaxed
data_Tc3P
_chemical_formula_sum 'Tc3 P1'
_space_group_name_H-M_alt 'P 1'
_space_group_IT_number 1
_cell_length_a 2.891
_cell_length_b 2.891
_cell_length_c 6.520
_cell_angle_alpha 90.00
_cell_angle_beta 90.00
_cell_angle_gamma 90.00
loop_
_space_group_symop_operation_xyz
'x,y,z'
loop_
_atom_site_label
_atom_site_type_symbol
_atom_site_fract_x
_atom_site_fract_y
_atom_site_fract_z
P1 P 0.000 0.000 0.000
Tc1 Tc 0.500 0.500 0.221
Tc2 Tc 0.000 0.000 0.500
Tc3 Tc 0.500 0.500 0.779
# Energy above the most stable polymorph in this dataset = 88 meV/atom
# Electronic total energy = -9.378 eV/atom